1.
ZrNpSe4 | PBE-GGA | relaxed

The density of states at the Fermi level comes out at 7.8 states/eV/f.u. As for the excess energy over the best structure of this formula in the dataset: 0.196 eV per atom. For the total moment, the calculation gives 3.00 μB per formula unit. Its crystal system is monoclinic. The calculation puts the raw total energy at -6.88 eV/atom. As for the formation energy from raw total energies: -0.976 eV per atom.

The structure belongs to space group P2_1/c (No. 14); the cell edges are 6.861, 6.793 and 6.881 Å and the angles 90.00°, 96.69° and 90.00°. The asymmetric unit holds Zr at (0.000, 0.000, 0.000), Np at (0.500, 0.000, 0.500), Se at (0.162, 0.172, 0.697) and Se at (0.337, 0.661, 0.638).



2.
ZrNpSe4 | PBE-GGA | relaxed

The density of states at the Fermi level comes out at 7.8 states/eV/f.u. As for the excess energy over the best structure of this formula in the dataset: 0.000 eV per atom. For the total moment, the calculation gives 3.00 μB per formula unit. Its crystal system is monoclinic. The calculation puts the raw total energy at -7.08 eV/atom. As for the formation energy from raw total energies: -1.171 eV per atom.

The structure belongs to space group C2/m (No. 12); the cell edges are 13.746, 3.961 and 6.859 Å and the angles 90.00°, 98.56° and 90.00°. The asymmetric unit holds Zr at (0.000, 0.000, 0.000), Np at (0.000, 0.500, 0.500), Se at (0.114, 0.500, 0.876) and Se at (0.115, 0.000, 0.355).



3.
ZrNp2Se4 | PBE-GGA | relaxed

The density of states at the Fermi level comes out at 18.8 states/eV/f.u. For the total moment, the calculation gives 9.18 μB per formula unit. Its crystal system is orthorhombic. The calculation puts the raw total energy at -7.96 eV/atom. As for the formation energy from raw total energies: -1.052 eV per atom.

The structure belongs to space group Cmcm (No. 63); the cell edges are 3.801, 13.569 and 13.809 Å and the angles 90.00°, 90.00° and 90.00°. The asymmetric unit holds Zr at (0.000, 0.131, 0.250), Np at (0.000, 0.365, 0.074), Se at (0.000, 0.000, 0.000), Se at (0.000, 0.287, 0.626) and Se at (0.000, 0.481, 0.250).



The highest total moment belongs to which entry?
ZrNp2Se4